First-principles (PBE-GGA) data for crystalline TbThScTl at its relaxed geometry, as listed in Alexandria.

abc: 7.673 7.673 7.673
angles: 90.00 90.00 90.00
Space group F-43m (No. 216)
Inequivalent atoms, fractional coordinates:
Tb  0.000  0.000  0.000 x4
Th  0.000  0.000  0.500 x4
Sc  0.250  0.250  0.250 x4
Tl  0.250  0.250  0.750 x4

## Properties
total DFT energy (no corrections): -5.168 eV/atom
ρ: 9.41 Mg/m³
formation energy: 19 meV/atom
total magnetic moment: 0.00 μB/atom
calculated volume: 452 Å³ per cell